(1)
{
  "formula": "Sm6Zn2In",
  "functional": "PBE",
  "state": "optimized geometry",
  "sg": "Immm, No. 71",
  "delta_e_f_ev_per_atom": -0.2258,
  "magnetic_moment_mub_per_atom": 0.0000,
  "volume_a3_per_atom": 29.0,
  "lattice": [[-7.219, 3.116, -3.918], [3.917, -5.917, -5.179], [-2.028, -4.009, 7.549]],
  "species": ["In", "In", "Zn", "Zn", "Zn", "Zn", "Sm", "Sm", "Sm", "Sm", "Sm", "Sm", "Sm", "Sm", "Sm", "Sm", "Sm", "Sm"],
  "fractional_positions": [[0.000, 0.500, 0.500], [0.000, 0.000, 0.000], [0.367, 0.000, 0.367], [0.633, 0.000, 0.633], [0.500, 0.623, 0.123], [0.500, 0.377, 0.877], [0.793, 0.758, 0.551], [0.282, 0.598, 0.316], [0.457, 0.272, 0.185], [0.793, 0.242, 0.035], [0.718, 0.034, 0.316], [0.282, 0.966, 0.684], [0.913, 0.728, 0.185], [0.207, 0.758, 0.965], [0.087, 0.272, 0.815], [0.543, 0.728, 0.815], [0.207, 0.242, 0.449], [0.718, 0.402, 0.684]]
}

***

(2)
{
  "formula": "SmZn2In",
  "functional": "PBE",
  "state": "optimized geometry",
  "sg": "Amm2, No. 38",
  "delta_e_f_ev_per_atom": -0.1424,
  "magnetic_moment_mub_per_atom": 0.0000,
  "volume_a3_per_atom": 23.0,
  "lattice": [[4.474, 0.000, 0.000], [0.000, 4.700, -2.691], [0.000, -0.463, 4.641]],
  "species": ["Zn", "Zn", "In", "Sm"],
  "fractional_positions": [[0.500, 0.224, 0.448], [0.000, 0.093, 0.185], [0.000, 0.469, 0.938], [0.500, 0.817, 0.635]]
}

***

(3)
{
  "formula": "Sm3ZnIn3",
  "functional": "PBE",
  "state": "optimized geometry",
  "sg": "C2/m, No. 12",
  "delta_e_f_ev_per_atom": -0.4387,
  "magnetic_moment_mub_per_atom": 0.0000,
  "volume_a3_per_atom": 27.4,
  "lattice": [[-0.695, -1.270, -4.465], [-2.624, -5.562, -0.476], [-13.612, 4.829, -1.722]],
  "species": ["Sm", "Sm", "Sm", "Sm", "Sm", "Sm", "Zn", "Zn", "In", "In", "In", "In", "In", "In"],
  "fractional_positions": [[0.404, 0.275, 0.918], [0.259, 0.259, 0.223], [0.543, 0.300, 0.614], [0.457, 0.700, 0.386], [0.596, 0.725, 0.082], [0.741, 0.741, 0.777], [0.245, 0.898, 0.611], [0.755, 0.102, 0.389], [0.120, 0.833, 0.927], [0.969, 0.826, 0.237], [0.880, 0.167, 0.073], [0.031, 0.174, 0.763], [0.863, 0.728, 0.546], [0.137, 0.272, 0.454]]
}

***

(4)
{
  "formula": "Sm6ZnIn2",
  "functional": "PBE",
  "state": "optimized geometry",
  "sg": "Immm, No. 71",
  "delta_e_f_ev_per_atom": -0.0483,
  "magnetic_moment_mub_per_atom": 0.0004,
  "volume_a3_per_atom": 33.1,
  "lattice": [[-0.298, 2.606, 4.484], [-5.641, -4.281, 2.114], [7.962, -4.145, -0.065]],
  "species": ["In", "In", "Sm", "Sm", "Sm", "Sm", "Sm", "Sm", "Zn"],
  "fractional_positions": [[0.335, 0.334, 0.669], [0.665, 0.666, 0.331], [0.500, 0.234, 0.000], [0.500, 0.766, 0.000], [0.839, 0.082, 0.677], [0.161, 0.405, 0.323], [0.161, 0.918, 0.323], [0.839, 0.595, 0.677], [0.000, 0.000, 0.000]]
}